This record from Alexandria describes a PBEsol-optimized structure of CoPdN2. The functional is meta-GGA SCAN.

Geometry as POSCAR:
```
CoPdN2
1.0
2.957 0.000 0.000
-1.478 2.561 0.000
0.000 0.000 17.329
Co Pd N
3 3 6
direct
0.000 0.000 0.000 Co
0.333 0.667 0.667 Co
0.667 0.333 0.333 Co
0.000 0.000 0.500 Pd
0.333 0.667 0.167 Pd
0.667 0.333 0.833 Pd
0.000 0.000 0.101 N
0.000 0.000 0.899 N
0.333 0.667 0.566 N
0.333 0.667 0.767 N
0.667 0.333 0.233 N
0.667 0.333 0.434 N
```

theoretical density = 7341 kg/m3
final energy = -16.362 eV per atom
total magnetic moment = 0.55 μB per atom
raw formation energy = 3.214 eV/f.u.
crystal system = trigonal


This record from Alexandria describes a PBEsol-optimized structure of Co2Pt2N. The functional is meta-GGA SCAN.

Geometry as POSCAR:
```
Co2Pt2N
1.0
3.578 0.000 0.000
0.000 3.578 0.000
0.000 0.000 11.419
Co Pt N
4 4 2
direct
0.000 0.000 0.093 Co
0.000 0.000 0.907 Co
0.500 0.500 0.407 Co
0.500 0.500 0.593 Co
0.000 0.500 0.250 Pt
0.000 0.500 0.750 Pt
0.500 0.000 0.250 Pt
0.500 0.000 0.750 Pt
0.000 0.000 0.500 N
0.500 0.500 0.000 N
```

theoretical density = 11856 kg/m3
final energy = -35.657 eV per atom
total magnetic moment = 1.42 μB per atom
raw formation energy = 6.000 eV/f.u.
crystal system = tetragonal


This record from Alexandria describes a PBEsol-optimized structure of CoPt2N. The functional is meta-GGA SCAN.

Geometry as POSCAR:
```
CoPt2N
1.0
4.659 0.000 0.000
0.000 4.659 0.000
0.000 0.000 11.357
Co Pt N
4 8 4
direct
0.000 0.000 0.000 Co
0.000 0.500 0.250 Co
0.500 0.000 0.750 Co
0.500 0.500 0.500 Co
0.161 0.250 0.625 Pt
0.250 0.661 0.875 Pt
0.250 0.839 0.375 Pt
0.339 0.250 0.125 Pt
0.661 0.750 0.125 Pt
0.750 0.161 0.375 Pt
0.750 0.339 0.875 Pt
0.839 0.750 0.625 Pt
0.000 0.000 0.500 N
0.000 0.500 0.750 N
0.500 0.000 0.250 N
0.500 0.500 0.000 N
```

theoretical density = 12480 kg/m3
final energy = -40.994 eV per atom
total magnetic moment = 0.61 μB per atom
raw formation energy = 3.008 eV/f.u.
crystal system = tetragonal


This record from Alexandria describes a PBEsol-optimized structure of CoRuPtN2. The functional is meta-GGA SCAN.

Geometry as POSCAR:
```
CoRuPtN2
1.0
3.503 0.000 0.000
0.000 3.503 0.000
0.000 0.000 5.123
Co Ru Pt N
1 1 1 2
direct
0.000 0.000 0.000 Co
0.000 0.000 0.500 Ru
0.500 0.500 0.500 Pt
0.000 0.500 0.000 N
0.500 0.000 0.000 N
```

theoretical density = 10121 kg/m3
final energy = -26.611 eV per atom
total magnetic moment = 0.00 μB per atom
raw formation energy = 7.852 eV/f.u.
crystal system = tetragonal


This record from Alexandria describes a PBEsol-optimized structure of CoTePtN2. The functional is meta-GGA SCAN.

Geometry as POSCAR:
```
CoTePtN2
1.0
3.694 0.000 0.000
0.000 3.694 0.000
0.000 0.000 6.624
Co Te Pt N
1 1 1 2
direct
0.000 0.000 0.000 Co
0.500 0.500 0.000 Te
0.500 0.500 0.500 Pt
0.000 0.500 0.500 N
0.500 0.000 0.500 N
```

theoretical density = 7527 kg/m3
final energy = -27.486 eV per atom
total magnetic moment = 0.38 μB per atom
raw formation energy = 5.901 eV/f.u.
crystal system = tetragonal


This record from Alexandria describes a PBEsol-optimized structure of CoTe2PtN. The functional is meta-GGA SCAN.

Geometry as POSCAR:
```
CoTe2PtN
1.0
5.453 0.000 0.000
0.000 5.453 0.000
0.000 0.000 3.588
Co Te Pt N
1 2 1 1
direct
0.000 0.000 0.000 Co
0.000 0.500 0.500 Te
0.500 0.000 0.500 Te
0.500 0.500 0.500 Pt
0.500 0.500 0.000 N
```

theoretical density = 8143 kg/m3
final energy = -33.532 eV per atom
total magnetic moment = 0.51 μB per atom
raw formation energy = 3.631 eV/f.u.
crystal system = tetragonal